FePdF2: optimized geometry, PBE with a Hubbard U.

Calculated values
DFT total energy = -4.641 eV per atom
crystal system = tetragonal
polymorph energy (0 for the lowest one) = 98 meV/atom

Geometry as POSCAR:
```
FePdF2
1.0
4.0714 0.0000 0.0000
0.0000 4.0714 0.0000
2.0357 2.0357 6.8641
Pd Fe F
2 2 4
Cartesian
4.0714 2.0357 3.4321
0.0000 0.0000 0.0000
2.0357 4.0714 3.4321
2.0357 2.0357 0.0000
3.0535 3.2857 5.1481
1.2500 3.0535 1.7160
5.0892 4.8570 5.1481
2.8214 1.0178 1.7160
```